Compound: Li2ErThS4
Source: Alexandria
Functional: PBE
Structure: optimized geometry

POSCAR file:
```
Li2ErThS4
1.0
3.9008 0.0000 0.0000
0.0000 6.8062 0.1241
0.0000 -2.3602 6.2030
Li Er Th S
2 1 1 4
Cartesian
1.9504 -1.1801 3.1015
0.0000 2.2230 3.1636
1.9504 3.4031 0.0620
0.0000 0.0000 0.0000
1.9504 1.1763 1.6676
1.9504 3.2698 4.6595
0.0000 -0.0261 4.6591
0.0000 4.4722 1.6680
```

The electronic total energy is -46.134 eV/cell. For the formation energy without anion corrections, the calculation gives -1.727 eV per atom.

Compound: LiEr3Th4S8
Source: Alexandria
Functional: PBE
Structure: optimized geometry

POSCAR file:
```
LiEr3Th4S8
1.0
7.6842 0.0000 0.0000
0.0000 8.0997 0.2859
-3.8421 -3.8368 5.4370
Li Er Th S
1 3 4 8
Cartesian
0.0000 4.0498 0.1430
3.8421 4.0498 0.1430
1.9211 2.1314 2.8615
-1.9211 2.1314 2.8615
3.8421 0.0000 0.0000
1.9211 -1.9184 2.7185
0.0000 0.0000 0.0000
-1.9211 -1.9184 2.7185
-1.9583 2.0868 5.5711
0.0000 4.0423 2.7999
0.0000 0.2149 2.8665
1.9583 2.0868 5.5711
1.8838 2.1761 0.1518
3.8421 4.0479 2.8565
3.8421 0.2205 2.9230
5.8004 2.1761 0.1518
```

The electronic total energy is -107.874 eV/cell. For the formation energy without anion corrections, the calculation gives -1.848 eV per atom.

Compound: LiErThS4
Source: Alexandria
Functional: PBE
Structure: optimized geometry

POSCAR file:
```
LiErThS4
1.0
7.8265 0.0000 0.0000
3.9133 7.0268 -0.0110
3.9133 2.1302 6.6962
Li Er Th S
2 2 2 8
Cartesian
7.8265 4.5873 0.7785
7.8265 4.5698 5.9067
5.8699 1.0651 3.3481
1.9566 1.0651 3.3481
0.0000 0.0000 0.0000
3.9133 4.5785 3.3426
11.7398 6.9218 4.8357
7.8265 7.0211 4.9082
7.8265 2.1360 1.7770
3.9133 2.2353 1.8495
5.7874 5.8777 1.7205
9.8657 5.8777 1.7205
5.7874 3.2794 4.9646
9.8657 3.2794 4.9646
```

The electronic total energy is -86.978 eV/cell. For the formation energy without anion corrections, the calculation gives -1.869 eV per atom.

Compound: Li4Er3ThS8
Source: Alexandria
Functional: PBE
Structure: optimized geometry

POSCAR file:
```
Li4Er3ThS8
1.0
-0.5564 -4.5638 6.2984
3.0815 -5.8002 -3.9306
3.6594 6.8682 0.4728
Li Er Th S
4 3 1 8
Cartesian
-0.2782 -2.2819 3.1492
1.5515 1.1522 3.3856
0.0000 0.0000 0.0000
1.8297 3.4341 0.2364
1.2626 -5.1820 1.1839
3.0923 -1.7479 1.4203
3.3705 0.5340 -1.7289
1.5408 -2.9001 -1.9653
2.1891 -5.5428 -1.3622
4.0544 -2.0417 -1.1213
2.4632 0.8407 0.8268
1.9164 -7.7801 1.7255
4.2682 4.2844 1.1150
3.7214 -4.3364 2.0138
2.1302 -1.4540 3.9618
3.9955 2.0471 4.2027
```

The electronic total energy is -90.443 eV/cell. For the formation energy without anion corrections, the calculation gives -1.791 eV per atom.

Compound: LiEr3Th3S8
Source: Alexandria
Functional: PBE
Structure: optimized geometry

POSCAR file:
```
LiEr3Th3S8
1.0
7.7987 -0.0001 0.0000
-3.8995 6.7536 -0.0237
0.0001 -4.4795 6.5322
Li Er Th S
1 3 3 8
Cartesian
0.0000 -2.2398 3.2661
3.8994 -2.2398 3.2661
1.9496 1.1370 3.2543
-1.9497 1.1370 3.2543
0.0000 0.0000 0.0000
-1.9497 3.3768 -0.0119
1.9496 3.3767 -0.0119
0.0000 2.2573 1.7479
3.8993 0.0166 4.7606
3.8993 2.2659 1.7182
0.0000 0.0081 4.7903
5.8563 -1.1239 1.7299
-1.9571 3.3978 4.7786
1.9425 -1.1238 1.7299
1.9568 3.3977 4.7786
```

The electronic total energy is -99.235 eV/cell. For the formation energy without anion corrections, the calculation gives -1.890 eV per atom.

Compound: LiErTh2S4
Source: Alexandria
Functional: PBE
Structure: optimized geometry

POSCAR file:
```
LiErTh2S4
1.0
-0.9827 1.3577 3.4460
-1.2792 -6.6402 2.2515
5.6180 -2.3902 2.5439
Li Er Th S
1 1 2 4
Cartesian
-1.1310 -2.6412 2.8488
2.1694 -4.5152 2.3977
5.6179 -2.3902 2.5439
2.3176 -0.5163 2.9949
3.3543 -6.6392 3.5725
0.0017 -1.0335 4.6689
-0.0088 -4.7373 3.9947
3.3648 -2.9354 4.2467
```

The electronic total energy is -52.115 eV/cell. For the formation energy without anion corrections, the calculation gives -1.786 eV per atom.

Compound: LiEr2ThS4
Source: Alexandria
Functional: PBE
Structure: optimized geometry

POSCAR file:
```
LiEr2ThS4
1.0
-0.4224 -3.7814 -0.7202
6.4370 -0.3049 -2.1742
-0.1068 -1.2526 6.6392
Li Er Th S
1 2 1 4
Cartesian
3.0073 -2.0432 -1.4472
-0.2646 -2.5170 2.9595
3.1651 -0.7788 2.2325
0.0000 0.0000 0.0000
1.4749 -2.2937 0.7666
4.4329 -3.0453 2.9782
1.5655 -1.0128 4.3991
4.7646 -0.5448 0.0660
```

The electronic total energy is -49.713 eV/cell. For the formation energy without anion corrections, the calculation gives -1.843 eV per atom.

Compound: Li4Er3TiS8
Source: Alexandria
Functional: PBE
Structure: optimized geometry

POSCAR file:
```
Li4Er3TiS8
1.0
-7.5839 -0.0838 0.1417
0.1577 -1.9333 7.2959
3.6808 6.1872 -2.3863
Li Er Ti S
4 3 1 8
Cartesian
-3.7919 -0.0419 0.0708
-1.9516 3.0517 -1.1223
0.0000 0.0000 0.0000
1.8404 3.0936 -1.1931
-3.7131 -1.0086 3.7188
-1.8727 2.0850 2.5257
1.9192 2.1269 2.4548
0.0788 -0.9667 3.6480
-1.6828 -1.4308 5.4476
0.0640 1.5066 4.3155
-0.0164 2.5815 0.6494
-5.6676 -1.4748 5.5221
1.9221 5.6449 -0.4708
-3.7290 1.5885 4.4019
-3.8094 2.6634 0.7358
-2.0626 5.6008 -0.3963
```

The electronic total energy is -89.617 eV/cell. For the formation energy without anion corrections, the calculation gives -1.710 eV per atom.

Compound: LiErTmS3
Source: Alexandria
Functional: PBE
Structure: optimized geometry

POSCAR file:
```
LiErTmS3
1.0
3.7453 0.0000 0.0000
0.0000 7.9000 0.1522
0.0000 -1.9285 8.0259
Li Er Tm S
2 2 2 6
Cartesian
0.9363 -0.4304 4.6929
2.8090 6.4019 3.4852
0.9363 1.0445 1.7880
2.8090 4.9270 6.3900
0.9363 4.9049 1.4483
2.8090 1.0666 6.7298
2.8090 6.9103 1.1875
0.9363 -0.9388 6.9906
0.9363 5.1783 4.2002
2.8090 0.7932 3.9779
2.8090 2.9992 1.4270
0.9363 2.9723 6.7511
```

The electronic total energy is -67.984 eV/cell. For the formation energy without anion corrections, the calculation gives -1.777 eV per atom.

Compound: Li3ErTm2S6
Source: Alexandria
Functional: PBE
Structure: optimized geometry

POSCAR file:
```
Li3ErTm2S6
1.0
6.6947 -0.0014 0.0006
-3.3469 5.7980 0.0006
-1.1162 -1.9327 6.1585
Li Er Tm S
3 1 2 6
Cartesian
-2.2312 3.8650 3.0798
4.4628 -0.0011 3.0798
1.1158 1.9320 3.0798
0.0000 0.0000 0.0000
0.0002 3.8650 0.0006
3.3476 1.9317 0.0006
3.3513 1.9247 4.6309
2.2277 3.8572 1.5306
-1.1197 1.9392 1.5288
-0.0077 3.8647 4.6309
0.0039 0.0067 4.6290
2.2393 -0.0007 1.5288
```

The electronic total energy is -66.347 eV/cell. For the formation energy without anion corrections, the calculation gives -1.861 eV per atom.

Compound: Li2ErTmS4
Source: Alexandria
Functional: PBE
Structure: optimized geometry

POSCAR file:
```
Li2ErTmS4
1.0
-0.5939 3.5463 -1.4306
-2.0667 -2.6786 -5.7817
-5.0947 0.7768 4.0404
Li Er Tm S
2 1 1 4
Cartesian
-2.8443 2.1615 1.3049
-3.5807 -0.9509 -0.8707
-1.3303 0.4338 -3.6062
0.0000 0.0000 0.0000
-2.0739 1.3015 -1.1466
-5.6815 0.3429 -2.0253
-4.3439 -0.0853 1.5919
-2.8176 -1.8166 -3.3332
```

The electronic total energy is -44.256 eV/cell. For the formation energy without anion corrections, the calculation gives -1.861 eV per atom.

Compound: Li4ErTm3S8
Source: Alexandria
Functional: PBE
Structure: optimized geometry

POSCAR file:
```
Li4ErTm3S8
1.0
7.7273 0.0000 0.0000
0.0000 7.6099 -0.0911
-3.8636 -3.8603 5.4638
Li Er Tm S
4 1 3 8
Cartesian
3.8636 0.0000 0.0000
1.9318 -1.9301 2.7319
0.0000 0.0000 0.0000
-1.9318 -1.9301 2.7319
0.0000 3.8050 -0.0456
3.8636 3.8050 -0.0456
1.9318 1.8748 2.6863
-1.9318 1.8748 2.6863
-1.9258 1.8393 5.3877
0.0000 3.7635 2.6645
0.0000 -0.0153 2.7157
1.9258 1.8393 5.3877
1.9378 1.9104 -0.0151
3.8636 3.7650 2.6570
3.8636 -0.0138 2.7081
5.7894 1.9104 -0.0151
```

The electronic total energy is -88.435 eV/cell. For the formation energy without anion corrections, the calculation gives -1.861 eV per atom.

Compound: LiErTm4S8
Source: Alexandria
Functional: PBE
Structure: optimized geometry

POSCAR file:
```
LiErTm4S8
1.0
7.9032 0.0000 0.0000
3.9516 6.8443 0.0000
3.9516 2.2814 6.4665
Li Er Tm S
1 1 4 8
Cartesian
7.9032 4.5629 5.6594
3.9516 2.2815 6.3753
7.9032 4.5629 0.8049
3.9516 4.4763 3.2637
5.8524 1.1840 3.2637
2.0508 1.1840 3.2637
7.9032 6.9609 4.8003
9.9799 3.3639 4.8003
5.8264 3.3639 4.8003
3.9516 2.2815 1.7468
7.9032 2.1317 1.6787
5.7977 5.7785 1.6787
10.0086 5.7785 1.6787
11.8548 6.8444 4.6839
```

The electronic total energy is -85.053 eV/cell. For the formation energy without anion corrections, the calculation gives -1.976 eV per atom.

Compound: LiErTm2S5
Source: Alexandria
Functional: PBE
Structure: optimized geometry

POSCAR file:
```
LiErTm2S5
1.0
3.8485 0.0000 0.0000
-1.9242 7.9916 0.0000
0.0000 0.0000 11.7623
Li Er Tm S
2 2 4 10
Cartesian
1.9242 0.2027 11.5432
0.0000 7.7888 5.6620
1.9242 4.8431 5.8861
0.0000 3.1484 0.0049
1.9242 6.0124 9.2725
0.0000 1.7199 8.0346
0.0000 1.9792 3.3914
1.9242 6.2716 2.1534
0.0000 5.8113 0.0754
1.9242 3.0923 9.8847
0.0000 7.9810 9.2358
0.0000 4.5758 7.7993
1.9242 7.2586 6.7719
1.9242 2.1802 5.9565
0.0000 4.8993 4.0035
1.9242 0.0106 3.3546
1.9242 3.4157 1.9181
0.0000 0.7330 0.8908
```

The electronic total energy is -105.284 eV/cell. For the formation energy without anion corrections, the calculation gives -1.843 eV per atom.

Compound: LiEr2TmS5
Source: Alexandria
Functional: PBE
Structure: optimized geometry

POSCAR file:
```
LiEr2TmS5
1.0
-2.3755 -1.8240 2.4224
7.4651 -2.6473 2.2647
0.8668 8.9130 7.5615
Li Er Tm S
2 4 2 10
Cartesian
-0.1680 7.7343 8.7219
6.5245 0.8229 7.0180
4.2125 3.4676 9.8049
1.9367 5.3316 5.9139
1.8154 1.7100 3.0680
3.9047 -2.0720 5.3317
3.0489 1.4013 7.1079
2.4765 -1.3909 1.3813
4.5628 -2.5603 2.5467
1.9644 5.2189 8.9190
6.9510 3.4339 9.4024
4.1603 3.8744 6.9973
5.0033 0.9840 8.7103
0.9651 2.5964 5.9642
4.1513 0.8622 4.7203
-0.9354 1.6178 3.3637
1.6448 -0.9871 3.9325
0.6494 0.3359 0.8899
```

The electronic total energy is -105.771 eV/cell. For the formation energy without anion corrections, the calculation gives -1.860 eV per atom.

Compound: LiEr3U3S8
Source: Alexandria
Functional: PBE
Structure: optimized geometry

POSCAR file:
```
LiEr3U3S8
1.0
-6.8847 -3.1659 1.0654
3.6779 -0.9834 -6.6382
2.6237 -3.5550 6.3909
Li Er U S
1 3 3 8
Cartesian
1.3118 -1.7775 3.1954
-2.1305 -3.3604 3.7281
-0.2916 -3.8522 0.4091
3.1508 -2.2692 -0.1236
0.0000 0.0000 0.0000
1.8389 -0.4917 -3.3191
-1.6034 -2.0747 -2.7864
0.7910 -2.2046 -1.4405
-1.3741 -5.4998 2.2586
-2.6498 -3.8002 -0.9349
2.0667 -3.9041 1.7530
-4.5130 -3.3010 2.4280
3.9298 -4.4033 -1.6098
-1.0273 -1.6973 1.8876
0.4442 -6.0070 -1.0695
```

The electronic total energy is -107.366 eV/cell. For the formation energy without anion corrections, the calculation gives -1.659 eV per atom.

Compound: Li4ErU3S8
Source: Alexandria
Functional: PBE
Structure: optimized geometry

POSCAR file:
```
Li4ErU3S8
1.0
-4.6873 -3.7672 -4.8359
-0.4460 -5.8398 4.9815
-1.7467 7.1666 2.2671
Li Er U S
4 1 3 8
Cartesian
-2.3437 -1.8836 -2.4180
-3.2170 1.6997 -1.2844
0.0000 0.0000 0.0000
-0.8734 3.5833 1.1336
-0.2230 -2.9199 2.4908
-2.5667 -4.8035 0.0728
-3.4400 -1.2202 1.2064
-1.0964 0.6634 3.6243
-1.5195 -5.3189 2.5622
-2.3859 -1.7640 3.6868
-2.1284 1.2015 1.1271
-3.8817 -7.2175 0.1251
-2.9984 4.7771 2.2877
-4.7516 -3.6419 1.2857
-4.4941 -0.6763 -1.2740
-5.3606 2.8786 -0.1494
```

The electronic total energy is -102.652 eV/cell. For the formation energy without anion corrections, the calculation gives -1.472 eV per atom.

Compound: LiErU2S4
Source: Alexandria
Functional: PBE
Structure: optimized geometry

POSCAR file:
```
LiErU2S4
1.0
-2.7491 -0.3114 2.5719
0.5367 -6.5017 -0.2134
4.2766 2.3862 4.8602
Li Er U S
1 1 2 4
Cartesian
-1.1062 -3.4065 1.1792
0.0000 0.0000 0.0000
0.7638 1.0374 3.7160
2.4067 -2.0577 2.3234
-0.2192 -1.2320 2.3906
2.2834 -3.1949 4.8280
3.4043 0.1352 3.6552
1.4091 -4.2507 0.9916
```

The electronic total energy is -57.765 eV/cell. For the formation energy without anion corrections, the calculation gives -1.525 eV per atom.

Compound: LiErU2S6
Source: Alexandria
Functional: PBE
Structure: optimized geometry

POSCAR file:
```
LiErU2S6
1.0
-3.8485 -4.2929 3.1540
4.7590 -1.6404 3.5742
-1.5475 4.3771 4.0694
Li Er U S
1 1 2 6
Cartesian
-2.0814 -2.3217 1.7058
-0.5879 -1.0785 5.6195
-1.4316 -5.0713 4.9104
-4.5848 -2.0625 5.1580
-2.1238 -2.5727 4.2151
-2.9260 -0.3038 6.3245
0.9525 0.6396 4.3572
-0.6713 -0.7488 0.5502
-0.4592 -1.1541 8.1772
0.3430 -3.4229 6.0678
```

The electronic total energy is -65.384 eV/cell. For the formation energy without anion corrections, the calculation gives -1.157 eV per atom.